# 1
Na2Tb2OsO6 | PBE | optimized geometry

Values from the calculation:
For the final energy, the calculation gives -6.976 eV per atom. The uncorrected formation energy comes out at -2302 kJ/mol of formula units. Its magnetic moment is 4.000 Bohr magnetons per cell.

a = 5.7379 Å, b = 10.0078 Å, c = 5.9103 Å
α = 90.00°, β = 104.65°, γ = 90.00°
Last column: nearest neighbours and their distance in Å.
Space group C2/m (No. 12)
Inequivalent atoms, fractional coordinates:
1 Na 0.0000 0.1438 0.0000  4 O 2.37-2.42
2 Tb 0.0000 0.3387 0.5000  6 O 2.28-2.31
3 Os 0.0000 0.0000 0.5000  6 O 2.08-2.10
4 O 0.1943 0.1561 0.6907  1 Os 2.08, 2 Tb 2.28-2.31
5 O 0.2485 0.0000 0.2937  1 Os 2.10, 2 Tb 2.30

***

# 2
Tm4ZnS2 | PBE | optimized geometry

Values from the calculation:
For the final energy, the calculation gives -5.137 eV per atom. The uncorrected formation energy comes out at -824 kJ/mol of formula units. Its magnetic moment is 0.000 Bohr magnetons per cell.

a = 3.8682 Å, b = 12.5136 Å, c = 13.2581 Å
α = 90.00°, β = 90.00°, γ = 90.00°
Last column: nearest neighbours and their distance in Å.
Space group Cmcm (No. 63)
Inequivalent atoms, fractional coordinates:
1 Tm 0.0000 0.0000 0.0000  4 S 2.70
2 Tm 0.0000 0.2715 0.1214  3 S 2.66-2.70, 2 Zn 2.96
3 Tm 0.0000 0.4395 0.7500  2 S 2.70, 2 Zn 2.90
4 Zn 0.0000 0.1121 0.7500  6 Tm 2.90-2.96
5 S 0.0000 0.3638 0.5593  6 Tm 2.66-2.70

***

# 3
BaLiYTl | PBE | optimized geometry

Values from the calculation:
For the final energy, the calculation gives -3.255 eV per atom. Its magnetic moment is 0.000 Bohr magnetons per cell. As for the formation enthalpy at 0 K: -0.09 eV per atom.

a = 8.0418 Å, b = 8.0418 Å, c = 8.0418 Å
α = 90.00°, β = 90.00°, γ = 90.00°
Last column: nearest neighbours and their distance in Å.
Space group F-43m (No. 216)
Inequivalent atoms, fractional coordinates:
1 Ba 0.0000 0.0000 0.0000  4 Li 3.48, 4 Tl 3.48
2 Li 0.2500 0.2500 0.2500  4 Y 3.48, 4 Ba 3.48
3 Y 0.0000 0.0000 0.5000  4 Tl 3.48, 4 Li 3.48
4 Tl 0.2500 0.2500 0.7500  4 Ba 3.48, 4 Y 3.48

***

# 4
Hf8Bi2As | PBE | optimized geometry

Values from the calculation:
For the final energy, the calculation gives -8.614 eV per atom. Its magnetic moment is 0.000 Bohr magnetons per cell. As for the formation enthalpy at 0 K: -0.25 eV per atom.

a = 16.8023 Å, b = 3.7597 Å, c = 7.9477 Å
α = 90.00°, β = 91.80°, γ = 90.00°
Last column: nearest neighbours and their distance in Å.
Space group C2/m (No. 12)
Inequivalent atoms, fractional coordinates:
1 Hf 0.0252 0.0000 0.2392  2 As 2.70
2 Hf 0.0867 0.5000 0.5141  5 Hf 2.92-3.04, 2 Bi 3.03
3 Hf 0.1632 0.5000 0.0566  1 As 2.76, 2 Bi 3.01
4 Hf 0.2037 0.0000 0.3586  7 Hf 3.01-3.28, 3 Bi 3.02-3.28
5 Bi 0.1693 0.0000 0.7619  9 Hf 3.01-3.28
6 As 0.0000 0.5000 0.0000  6 Hf 2.70-2.76